[1]
Entry from Alexandria via LeMat-Bulk: an optimized crystal structure of Pb (PBE).

- Space-group type: No. 65
- Polymorph energy (0 for the lowest one): 0.0518 eV per atom
- E_tot: -43.88 eV/cell
- DOS at the Fermi energy: 0.7894 states/eV/atom
- Energy of formation: 0.052 eV per atom

a b c (Å): 15.7477 3.5645 6.9288
angles (deg): 90.00 90.00 90.00
Element x y z (fractional)
Pb (0.3424, 0.5000, 0.0000)
Pb (0.6576, 0.5000, 0.0000)
Pb (0.8424, 0.0000, 0.5000)
Pb (0.1576, 0.0000, 0.5000)
Pb (0.5000, 0.0000, 0.7500)
Pb (0.5000, 0.0000, 0.2500)
Pb (0.0000, 0.5000, 0.2500)
Pb (0.0000, 0.5000, 0.7500)
Pb (0.8424, 0.0000, 0.0000)
Pb (0.1576, 0.0000, 0.0000)
Pb (0.3424, 0.5000, 0.5000)
Pb (0.6576, 0.5000, 0.5000)

[2]
Entry from Alexandria via LeMat-Bulk: an optimized crystal structure of Pb (PBE).

- Space-group type: No. 142
- Polymorph energy (0 for the lowest one): 0.1145 eV per atom
- E_tot: -57.50 eV/cell
- DOS at the Fermi energy: 0.5299 states/eV/atom
- Energy of formation: 0.115 eV per atom

a b c (Å): 6.5378 6.5378 12.4785
angles (deg): 90.00 90.00 90.00
Element x y z (fractional)
Pb (0.3182, 0.3182, 0.2500)
Pb (0.8182, 0.6818, 0.0000)
Pb (0.1818, 0.3182, 0.0000)
Pb (0.6818, 0.6818, 0.2500)
Pb (0.6818, 0.8182, 0.5000)
Pb (0.3182, 0.1818, 0.5000)
Pb (0.6818, 0.1818, 0.0000)
Pb (0.6818, 0.3182, 0.7500)
Pb (0.3182, 0.6818, 0.7500)
Pb (0.3182, 0.8182, 0.0000)
Pb (0.8182, 0.3182, 0.5000)
Pb (0.1818, 0.6818, 0.5000)
Pb (0.8182, 0.8182, 0.7500)
Pb (0.1818, 0.1818, 0.7500)
Pb (0.1818, 0.8182, 0.2500)
Pb (0.8182, 0.1818, 0.2500)

[3]
Entry from Alexandria via LeMat-Bulk: an optimized crystal structure of Pb (PBE).

- Space-group type: No. 194
- Polymorph energy (0 for the lowest one): 0.2998 eV per atom
- E_tot: -13.63 eV/cell
- DOS at the Fermi energy: 0.2730 states/eV/atom
- Energy of formation: 0.300 eV per atom

a b c (Å): 4.9393 4.9393 8.2015
angles (deg): 90.00 90.00 120.00
Element x y z (fractional)
Pb (0.3333, 0.6667, 0.0633)
Pb (0.6667, 0.3333, 0.5633)
Pb (0.6667, 0.3333, 0.9367)
Pb (0.3333, 0.6667, 0.4367)

[4]
Entry from Alexandria via LeMat-Bulk: an optimized crystal structure of Pb (PBE).

- Space-group type: No. 141
- Polymorph energy (0 for the lowest one): 0.1408 eV per atom
- E_tot: -7.14 eV/cell
- DOS at the Fermi energy: 0.6979 states/eV/atom
- Energy of formation: 0.141 eV per atom

a b c (Å): 4.7585 4.7585 4.7585
angles (deg): 96.93 96.93 139.35
Element x y z (fractional)
Pb (0.1250, 0.8750, 0.7500)
Pb (0.8750, 0.1250, 0.2500)